--- P ---
A plane-wave DFT calculation with PBE-GGA was carried out for crystalline PmHoTm2 at its relaxed geometry.

Properties
**SG**: P4/mmm, No. 123
**DOS(E_F)**: 1.424 states/eV/atom
**M_tot**: 0.000 μB/cell

a b c (Å): 3.540 3.540 9.996
angles (deg): 90.00 90.00 90.00
Positions (direct):
Pm: 0.000 0.000 0.000
Ho: 0.000 0.000 0.500
Tm: 0.500 0.500 0.254
Tm: 0.500 0.500 0.746

***

--- Q ---
A plane-wave DFT calculation with PBE-GGA was carried out for crystalline PmHoTm2 at its relaxed geometry.

Properties
**SG**: R3m, No. 160
**DOS(E_F)**: 1.409 states/eV/atom
**M_tot**: 0.001 μB/cell

a b c (Å): 3.559 3.559 34.295
angles (deg): 90.00 90.00 120.00
Positions (direct):
Pm: 0.000 0.000 0.000
Pm: 0.333 0.667 0.667
Pm: 0.667 0.333 0.333
Ho: 0.000 0.000 0.166
Ho: 0.333 0.667 0.832
Ho: 0.667 0.333 0.499
Tm: 0.000 0.000 0.581
Tm: 0.000 0.000 0.751
Tm: 0.333 0.667 0.248
Tm: 0.333 0.667 0.417
Tm: 0.667 0.333 0.084
Tm: 0.667 0.333 0.915

***

--- R ---
A plane-wave DFT calculation with PBE-GGA was carried out for crystalline PmHoTm2 at its relaxed geometry.

Properties
**SG**: Imm2, No. 44
**DOS(E_F)**: 1.667 states/eV/atom
**M_tot**: 0.001 μB/cell

a b c (Å): 3.619 11.255 6.238
angles (deg): 90.00 90.00 90.00
Positions (direct):
Pm: 0.000 0.000 0.000
Pm: 0.500 0.500 0.500
Ho: 0.000 0.500 0.997
Ho: 0.500 0.000 0.497
Tm: 0.000 0.249 0.664
Tm: 0.000 0.751 0.664
Tm: 0.500 0.251 0.164
Tm: 0.500 0.749 0.164

***

Which structure is most stable, and how do the rest compare? From most to least stable: R, Q, P.

***

--- P ---
A plane-wave DFT calculation with PBE-GGA was carried out for crystalline Pm2Ho8Tm at its relaxed geometry.

Properties
**SG**: C2/m, No. 12
**DOS(E_F)**: 1.332 states/eV/atom
**M_tot**: 0.000 μB/cell

a b c (Å): 9.376 9.376 7.924
angles (deg): 104.68 104.68 30.97
Positions (direct):
Pm: 0.227 0.227 0.137
Pm: 0.773 0.773 0.863
Ho: 0.045 0.045 0.228
Ho: 0.135 0.135 0.678
Ho: 0.319 0.319 0.592
Ho: 0.410 0.410 0.047
Ho: 0.590 0.590 0.953
Ho: 0.681 0.681 0.408
Ho: 0.865 0.865 0.322
Ho: 0.955 0.955 0.772
Tm: 0.500 0.500 0.500

***

--- Q ---
A plane-wave DFT calculation with PBE-GGA was carried out for crystalline Pm2Ho8Tm at its relaxed geometry.

Properties
**SG**: C2/m, No. 12
**DOS(E_F)**: 1.572 states/eV/atom
**M_tot**: 0.000 μB/cell

a b c (Å): 9.973 9.973 5.580
angles (deg): 92.50 92.50 40.91
Positions (direct):
Pm: 0.216 0.216 0.252
Pm: 0.784 0.784 0.748
Ho: 0.046 0.046 0.235
Ho: 0.105 0.638 0.266
Ho: 0.316 0.316 0.766
Ho: 0.362 0.895 0.734
Ho: 0.638 0.105 0.266
Ho: 0.684 0.684 0.234
Ho: 0.895 0.362 0.734
Ho: 0.954 0.954 0.765
Tm: 0.500 0.500 0.000

***

Which structure is most stable, and how do the rest compare? From most to least stable: P, Q.

***

--- P ---
A plane-wave DFT calculation with PBE-GGA was carried out for crystalline PmHo3Tm5 at its relaxed geometry.

Properties
**SG**: Imma, No. 74
**DOS(E_F)**: 1.293 states/eV/atom
**M_tot**: 0.000 μB/cell

a b c (Å): 10.409 10.409 10.409
angles (deg): 139.99 67.72 127.82
Positions (direct):
Pm: 0.299 0.049 0.250
Pm: 0.701 0.951 0.750
Ho: 0.000 0.000 0.500
Ho: 0.000 0.500 0.000
Ho: 0.186 0.748 0.438
Ho: 0.190 0.252 0.938
Ho: 0.810 0.748 0.062
Ho: 0.814 0.252 0.562
Tm: 0.156 0.317 0.335
Tm: 0.156 0.821 0.839
Tm: 0.342 0.592 0.750
Tm: 0.483 0.317 0.661
Tm: 0.483 0.821 0.165
Tm: 0.517 0.179 0.835
Tm: 0.517 0.683 0.339
Tm: 0.658 0.408 0.250
Tm: 0.844 0.179 0.161
Tm: 0.844 0.683 0.665

***

--- Q ---
A plane-wave DFT calculation with PBE-GGA was carried out for crystalline PmHo3Tm5 at its relaxed geometry.

Properties
**SG**: C2/m, No. 12
**DOS(E_F)**: 1.541 states/eV/atom
**M_tot**: 0.000 μB/cell

a b c (Å): 9.222 9.222 12.087
angles (deg): 125.92 125.92 50.60
Positions (direct):
Pm: 0.236 0.236 0.130
Pm: 0.764 0.764 0.870
Ho: 0.000 0.000 0.000
Ho: 0.172 0.172 0.340
Ho: 0.379 0.379 0.685
Ho: 0.500 0.500 0.500
Ho: 0.621 0.621 0.315
Ho: 0.828 0.828 0.660
Tm: 0.121 0.121 0.565
Tm: 0.141 0.729 0.219
Tm: 0.271 0.859 0.781
Tm: 0.298 0.298 0.927
Tm: 0.322 0.678 0.000
Tm: 0.678 0.322 0.000
Tm: 0.702 0.702 0.073
Tm: 0.729 0.141 0.219
Tm: 0.859 0.271 0.781
Tm: 0.879 0.879 0.435

***

Which structure is most stable, and how do the rest compare? From most to least stable: P, Q.

***

--- P ---
A plane-wave DFT calculation with PBE-GGA was carried out for crystalline Pm3Ho2Tm4 at its relaxed geometry.

Properties
**SG**: C2/c, No. 15
**DOS(E_F)**: 1.462 states/eV/atom
**M_tot**: 0.000 μB/cell

a b c (Å): 10.077 10.077 6.013
angles (deg): 96.09 96.09 70.05
Positions (direct):
Pm: 0.105 0.895 0.750
Pm: 0.230 0.438 0.914
Pm: 0.438 0.230 0.414
Pm: 0.562 0.770 0.586
Pm: 0.770 0.562 0.086
Pm: 0.895 0.105 0.250
Ho: 0.015 0.747 0.186
Ho: 0.253 0.985 0.314
Ho: 0.747 0.015 0.686
Ho: 0.985 0.253 0.814
Tm: 0.083 0.351 0.351
Tm: 0.318 0.585 0.480
Tm: 0.351 0.083 0.851
Tm: 0.415 0.682 0.020
Tm: 0.585 0.318 0.980
Tm: 0.649 0.917 0.149
Tm: 0.682 0.415 0.520
Tm: 0.917 0.649 0.649

***

--- Q ---
A plane-wave DFT calculation with PBE-GGA was carried out for crystalline Pm3Ho2Tm4 at its relaxed geometry.

Properties
**SG**: C2/m, No. 12
**DOS(E_F)**: 1.343 states/eV/atom
**M_tot**: 0.000 μB/cell

a b c (Å): 8.743 8.743 9.648
angles (deg): 101.03 101.03 23.36
Positions (direct):
Pm: 0.000 0.000 0.000
Pm: 0.153 0.153 0.587
Pm: 0.847 0.847 0.413
Ho: 0.336 0.336 0.078
Ho: 0.664 0.664 0.922
Tm: 0.176 0.176 0.236
Tm: 0.484 0.484 0.675
Tm: 0.516 0.516 0.325
Tm: 0.824 0.824 0.764

***

Which structure is most stable, and how do the rest compare? From most to least stable: Q, P.

***

--- P ---
A plane-wave DFT calculation with PBE-GGA was carried out for crystalline Pm2Ho8Tm3 at its relaxed geometry.

Properties
**SG**: P2_1/c, No. 14
**DOS(E_F)**: 1.317 states/eV/atom
**M_tot**: 0.000 μB/cell

a b c (Å): 3.537 12.147 19.274
angles (deg): 90.00 90.01 90.00
Positions (direct):
Pm: 0.002 0.168 0.130
Pm: 0.002 0.332 0.630
Pm: 0.998 0.668 0.370
Pm: 0.998 0.832 0.870
Ho: 0.000 0.016 0.583
Ho: 0.000 0.484 0.083
Ho: 0.000 0.516 0.917
Ho: 0.000 0.984 0.417
Ho: 0.001 0.122 0.863
Ho: 0.001 0.378 0.363
Ho: 0.499 0.650 0.201
Ho: 0.499 0.710 0.019
Ho: 0.499 0.790 0.519
Ho: 0.499 0.850 0.701
Ho: 0.501 0.150 0.299
Ho: 0.501 0.210 0.481
Ho: 0.501 0.290 0.981
Ho: 0.501 0.350 0.799
Ho: 0.999 0.622 0.637
Ho: 0.999 0.878 0.137
Tm: 0.499 0.623 0.788
Tm: 0.499 0.877 0.288
Tm: 0.500 0.000 0.000
Tm: 0.500 0.500 0.500
Tm: 0.501 0.123 0.712
Tm: 0.501 0.377 0.212

***

--- Q ---
A plane-wave DFT calculation with PBE-GGA was carried out for crystalline Pm2Ho8Tm3 at its relaxed geometry.

Properties
**SG**: Cmmm, No. 65
**DOS(E_F)**: 1.684 states/eV/atom
**M_tot**: 0.000 μB/cell

a b c (Å): 10.972 10.972 5.507
angles (deg): 90.00 90.00 139.74
Positions (direct):
Pm: 0.241 0.759 0.000
Pm: 0.759 0.241 0.000
Ho: 0.129 0.871 0.500
Ho: 0.181 0.393 0.000
Ho: 0.338 0.662 0.500
Ho: 0.393 0.181 0.000
Ho: 0.607 0.819 0.000
Ho: 0.662 0.338 0.500
Ho: 0.819 0.607 0.000
Ho: 0.871 0.129 0.500
Tm: 0.000 0.000 0.000
Tm: 0.285 0.285 0.500
Tm: 0.715 0.715 0.500

***

Which structure is most stable, and how do the rest compare? From most to least stable: P, Q.

***

--- P ---
A plane-wave DFT calculation with PBE-GGA was carried out for crystalline Pm7Ho3Tm2 at its relaxed geometry.

Properties
**SG**: P2/m, No. 10
**DOS(E_F)**: 1.359 states/eV/atom
**M_tot**: 0.000 μB/cell

a b c (Å): 5.841 3.600 18.916
angles (deg): 90.00 93.81 90.00
Positions (direct):
Pm: 0.000 0.000 0.000
Pm: 0.178 0.500 0.184
Pm: 0.258 0.500 0.535
Pm: 0.325 0.000 0.854
Pm: 0.675 0.000 0.146
Pm: 0.742 0.500 0.465
Pm: 0.822 0.500 0.816
Ho: 0.217 0.000 0.367
Ho: 0.500 0.500 0.000
Ho: 0.783 0.000 0.633
Tm: 0.294 0.500 0.702
Tm: 0.706 0.500 0.298

***

--- Q ---
A plane-wave DFT calculation with PBE-GGA was carried out for crystalline Pm7Ho3Tm2 at its relaxed geometry.

Properties
**SG**: P2/m, No. 10
**DOS(E_F)**: 1.454 states/eV/atom
**M_tot**: 0.000 μB/cell

a b c (Å): 6.413 3.547 17.489
angles (deg): 90.00 95.91 90.00
Positions (direct):
Pm: 0.000 0.000 0.000
Pm: 0.224 0.500 0.172
Pm: 0.257 0.500 0.495
Pm: 0.276 0.000 0.832
Pm: 0.724 0.000 0.168
Pm: 0.743 0.500 0.505
Pm: 0.776 0.500 0.828
Ho: 0.454 0.000 0.341
Ho: 0.500 0.500 0.000
Ho: 0.546 0.000 0.659
Tm: 0.060 0.500 0.670
Tm: 0.940 0.500 0.330

***

Which structure is most stable, and how do the rest compare? From most to least stable: Q, P.